Record 1
UCdP2 | the Alexandria database | PBE | relaxed; E_form = -213 meV/atom; ΔE to the lowest computed polymorph = 0.240 eV/atom
1.0
2.088 1.205 7.549
-2.088 1.205 7.549
0.000 -2.410 7.549
U Cd P
1 1 2
direct
0.000 0.000 0.000
0.500 0.500 0.500
0.393 0.393 0.393
0.607 0.607 0.607

Record 2
InSn2Au9 | the Alexandria database | PBE | relaxed; E_form = -55 meV/atom
1.0
5.720 0.000 0.000
-1.951 6.553 0.000
-2.443 -2.529 6.481
In Sn Au
1 2 9
direct
0.000 0.000 0.000
0.190 0.238 0.610
0.810 0.762 0.390
0.016 0.618 0.717
0.248 0.431 0.011
0.325 0.837 0.291
0.492 0.695 0.638
0.500 0.000 0.000
0.508 0.305 0.362
0.675 0.163 0.709
0.752 0.569 0.989
0.984 0.382 0.283

Record 3
FePd2Br8 | the Alexandria database | PBE | relaxed; ΔE_f (raw) = -0.18 eV/atom
1.0
5.376 -4.715 0.000
5.376 4.715 0.000
-2.130 0.000 7.710
Fe Pd Br
1 2 8
direct
0.000 0.000 0.000
0.129 0.129 0.393
0.871 0.871 0.607
0.032 0.675 0.856
0.116 0.116 0.704
0.325 0.968 0.144
0.362 0.362 0.517
0.638 0.638 0.483
0.675 0.032 0.856
0.884 0.884 0.296
0.968 0.325 0.144